PBE HfSc2Ir, relaxed; ΔE to the lowest computed polymorph = 363 meV per atom; formation energy from the elements = -0.175 eV/atom; calculated total energy = -0.5912 Ry/atom
1.0
-3.9545 3.9545 2.8062
3.9545 -3.9545 2.8062
3.9545 3.9545 -2.8062
Hf Sc Ir
2 4 2
Cartesian
0.0000 0.0000 0.0000
0.0000 3.9545 1.4031
1.9772 -1.4897 2.1046
2.4648 1.9772 0.7015
1.9772 5.4442 -0.7015
1.4897 1.9772 3.5077
3.9545 0.0000 1.4031
0.0000 0.0000 2.8062